DFT (GGA-PBE) results for crystalline Ba2CrSb2 at its relaxed geometry.

Computed properties:
DFT total energy (eV per atom): -4.748
V (Å³ per atom): 33.7
Raw formation energy (kJ per mole of atoms): -39.1

POSCAR file:
```
Ba2CrSb2
1.0
7.8950 0.0000 0.0000
0.0000 7.8950 0.0000
0.0000 0.0000 5.4011
Ba Cr Sb
4 2 4
Cartesian
1.3785 2.5690 0.0000 Ba
2.5690 6.5165 0.0000 Ba
5.3260 1.3785 0.0000 Ba
6.5165 5.3260 0.0000 Ba
0.0000 0.0000 2.7006 Cr
3.9475 3.9475 2.7006 Cr
1.0642 5.0116 2.7006 Sb
2.8833 1.0642 2.7006 Sb
5.0116 6.8308 2.7006 Sb
6.8308 2.8833 2.7006 Sb
```